A plane-wave DFT calculation with PBE was carried out for an optimized crystal structure of Gd2Os.

The space group is Fd-3m (No. 227, origin choice 2) and the conventional cell measures 11.8401, 11.8401 and 11.8401 Å, with angles of 90.00, 90.00 and 90.00 degrees. Symmetry generates all atoms from Gd at (0.0000, 0.0000, 0.0000) and Os at (0.1250, 0.1250, 0.1250).

Its formation energy is 1.169 eV/atom. For the electronic total energy, the calculation gives -136.2 eV for the cell shown.

A plane-wave DFT calculation with PBE was carried out for an optimized crystal structure of Gd2Os.

The space group is Fm-3m (No. 225) and the conventional cell measures 6.7982, 6.7982 and 6.7982 Å, with angles of 90.00, 90.00 and 90.00 degrees. Symmetry generates all atoms from Gd at (0.2500, 0.2500, 0.2500) and Os at (0.0000, 0.0000, 0.0000).

Its formation energy is -0.170 eV/atom. For the electronic total energy, the calculation gives -84.2 eV for the cell shown.

A plane-wave DFT calculation with PBE was carried out for an optimized crystal structure of PrGdP2Os2S2.

The space group is P4mm (No. 99) and the conventional cell measures 4.1742, 4.1742 and 8.8977 Å, with angles of 90.00, 90.00 and 90.00 degrees. Symmetry generates all atoms from Pr at (0.0000, 0.0000, 0.0000), Gd at (0.5000, 0.5000, 0.4069), P at (0.0000, 0.0000, 0.5707), P at (0.5000, 0.5000, 0.8297), Os at (0.0000, 0.5000, 0.6996) and S at (0.0000, 0.5000, 0.2120).

For the electronic total energy, the calculation gives -58.9 eV for the cell shown.

A plane-wave DFT calculation with PBE was carried out for an optimized crystal structure of PrGdP2Os2Se2.

The space group is P4mm (No. 99) and the conventional cell measures 4.1207, 4.1207 and 9.4012 Å, with angles of 90.00, 90.00 and 90.00 degrees. Symmetry generates all atoms from Pr at (0.0000, 0.0000, 0.0000), Gd at (0.5000, 0.5000, 0.4684), P at (0.0000, 0.0000, 0.6011), P at (0.5000, 0.5000, 0.8559), Os at (0.0000, 0.5000, 0.7283) and Se at (0.0000, 0.5000, 0.2414).

For the electronic total energy, the calculation gives -57.1 eV for the cell shown.

A plane-wave DFT calculation with PBE was carried out for an optimized crystal structure of TbGdP2Os2S2.

The space group is P4mm (No. 99) and the conventional cell measures 4.1604, 4.1604 and 8.6575 Å, with angles of 90.00, 90.00 and 90.00 degrees. Symmetry generates all atoms from Tb at (0.0000, 0.0000, 0.0000), Gd at (0.5000, 0.5000, 0.4023), P at (0.0000, 0.0000, 0.5674), P at (0.5000, 0.5000, 0.8354), Os at (0.0000, 0.5000, 0.7016) and S at (0.0000, 0.5000, 0.1997).

For the electronic total energy, the calculation gives -58.9 eV for the cell shown.

A plane-wave DFT calculation with PBE was carried out for an optimized crystal structure of TbGdP2Os2Se2.

The space group is P4mm (No. 99) and the conventional cell measures 4.1166, 4.1166 and 9.1179 Å, with angles of 90.00, 90.00 and 90.00 degrees. Symmetry generates all atoms from Tb at (0.0000, 0.0000, 0.0000), Gd at (0.5000, 0.5000, 0.4672), P at (0.0000, 0.0000, 0.6025), P at (0.5000, 0.5000, 0.8664), Os at (0.0000, 0.5000, 0.7346) and Se at (0.0000, 0.5000, 0.2325).

For the electronic total energy, the calculation gives -56.9 eV for the cell shown.